(1)
K14La2O9 PBE relaxed; raw total energy = -105.00 eV per cell; space group = P-3 (147); ΔE_f (raw) = -3391.7 kJ/mol of formula units
1.0
7.961 0.000 0.000
-3.981 6.894 0.000
0.000 0.000 11.159
K La O
14 2 9
direct
0.000 0.000 0.246 K
0.000 0.000 0.754 K
0.058 0.689 0.911 K
0.103 0.378 0.590 K
0.275 0.897 0.590 K
0.311 0.369 0.911 K
0.369 0.058 0.089 K
0.378 0.275 0.410 K
0.622 0.725 0.590 K
0.631 0.942 0.911 K
0.689 0.631 0.089 K
0.725 0.103 0.410 K
0.897 0.622 0.410 K
0.942 0.311 0.089 K
0.333 0.667 0.270 La
0.667 0.333 0.730 La
0.000 0.000 0.000 O
0.104 0.365 0.343 O
0.261 0.896 0.343 O
0.333 0.667 0.063 O
0.365 0.261 0.657 O
0.635 0.739 0.343 O
0.667 0.333 0.937 O
0.739 0.104 0.657 O
0.896 0.635 0.657 O



(2)
Nb2AgMoBr PBE relaxed; raw total energy = -29.12 eV per cell; space group = P4/mmm (123); ΔE_f (raw) = 615.1 kJ/mol of formula units
1.0
4.809 0.000 0.000
0.000 4.809 0.000
0.000 0.000 5.294
Nb Ag Mo Br
2 1 1 1
direct
0.000 0.500 0.000 Nb
0.500 0.000 0.000 Nb
0.000 0.000 0.500 Ag
0.000 0.000 0.000 Mo
0.500 0.500 0.500 Br



(3)
KPtBr PBE relaxed; raw total energy = -43.16 eV per cell; space group = Cm (8); ΔE_f (raw) = -190.8 kJ/mol of formula units; energy above the lowest structure with this stoichiometry = 0.012 eV per atom
1.0
17.981 0.000 0.000
0.000 3.824 0.000
-1.686 0.000 5.265
K Pt Br
4 4 4
direct
0.000 0.000 0.000 K
0.239 0.000 0.240 K
0.500 0.500 0.000 K
0.739 0.500 0.240 K
0.130 0.000 0.631 Pt
0.232 0.500 0.733 Pt
0.630 0.500 0.631 Pt
0.732 0.000 0.733 Pt
0.026 0.500 0.526 Br
0.339 0.000 0.839 Br
0.526 0.000 0.526 Br
0.839 0.500 0.839 Br



Copy entry 1 word for word.
K14La2O9 PBE relaxed; raw total energy = -105.00 eV per cell; space group = P-3 (147); ΔE_f (raw) = -3391.7 kJ/mol of formula units
1.0
7.961 0.000 0.000
-3.981 6.894 0.000
0.000 0.000 11.159
K La O
14 2 9
direct
0.000 0.000 0.246 K
0.000 0.000 0.754 K
0.058 0.689 0.911 K
0.103 0.378 0.590 K
0.275 0.897 0.590 K
0.311 0.369 0.911 K
0.369 0.058 0.089 K
0.378 0.275 0.410 K
0.622 0.725 0.590 K
0.631 0.942 0.911 K
0.689 0.631 0.089 K
0.725 0.103 0.410 K
0.897 0.622 0.410 K
0.942 0.311 0.089 K
0.333 0.667 0.270 La
0.667 0.333 0.730 La
0.000 0.000 0.000 O
0.104 0.365 0.343 O
0.261 0.896 0.343 O
0.333 0.667 0.063 O
0.365 0.261 0.657 O
0.635 0.739 0.343 O
0.667 0.333 0.937 O
0.739 0.104 0.657 O
0.896 0.635 0.657 O



Please write out number 3 again, unchanged.
KPtBr PBE relaxed; raw total energy = -43.16 eV per cell; space group = Cm (8); ΔE_f (raw) = -190.8 kJ/mol of formula units; energy above the lowest structure with this stoichiometry = 0.012 eV per atom
1.0
17.981 0.000 0.000
0.000 3.824 0.000
-1.686 0.000 5.265
K Pt Br
4 4 4
direct
0.000 0.000 0.000 K
0.239 0.000 0.240 K
0.500 0.500 0.000 K
0.739 0.500 0.240 K
0.130 0.000 0.631 Pt
0.232 0.500 0.733 Pt
0.630 0.500 0.631 Pt
0.732 0.000 0.733 Pt
0.026 0.500 0.526 Br
0.339 0.000 0.839 Br
0.526 0.000 0.526 Br
0.839 0.500 0.839 Br